Record 1
{
  "formula": "GeW",
  "functional": "PBE",
  "state": "optimized geometry",
  "polymorph_energy_ev_per_atom": 0.0306,
  "space_group": "Pmmn, No. 59",
  "crystal_system": "orthorhombic",
  "energy_ry_per_atom": -0.624,
  "magmom_total_mub_per_fu": 0.000,
  "delta_e_f_ev_per_atom": 0.290,
  "cell": [[2.816, 0.000, 0.000], [0.000, 4.892, 0.000], [0.000, 0.000, 4.600]],
  "species": ["Ge", "Ge", "W", "W"],
  "frac_coords": [[0.250, 0.250, 0.098], [0.750, 0.750, 0.902], [0.250, 0.750, 0.400], [0.750, 0.250, 0.600]]
}



Record 2
{
  "formula": "K4MgPt",
  "functional": "PBE",
  "state": "optimized geometry",
  "space_group": "F-43m, No. 216",
  "crystal_system": "cubic",
  "energy_ry_per_atom": -0.109,
  "magmom_total_mub_per_fu": 0.000,
  "delta_e_f_ev_per_atom": 0.528,
  "cell": [[0.000, 4.877, 4.877], [4.877, 0.000, 4.877], [4.877, 4.877, 0.000]],
  "species": ["K", "K", "K", "K", "Mg", "Pt"],
  "frac_coords": [[0.377, 0.377, 0.377], [0.377, 0.377, 0.869], [0.377, 0.869, 0.377], [0.869, 0.377, 0.377], [0.000, 0.000, 0.000], [0.750, 0.750, 0.750]]
}



Record 3
{
  "formula": "La12YHo5",
  "functional": "PBE",
  "state": "optimized geometry",
  "space_group": "C2/m, No. 12",
  "crystal_system": "monoclinic",
  "energy_ry_per_atom": -0.354,
  "magmom_total_mub_per_fu": 0.000,
  "delta_e_f_ev_per_atom": 0.094,
  "cell": [[5.779, -9.091, 0.000], [5.779, 9.091, 0.000], [0.000, 0.000, 6.050]],
  "species": ["La", "La", "La", "La", "La", "La", "La", "La", "La", "La", "La", "La", "Y", "Ho", "Ho", "Ho", "Ho", "Ho"],
  "frac_coords": [[0.011, 0.677, 0.999], [0.157, 0.157, 0.499], [0.175, 0.511, 0.501], [0.323, 0.989, 0.001], [0.342, 0.342, 0.999], [0.489, 0.825, 0.499], [0.511, 0.175, 0.501], [0.658, 0.658, 0.001], [0.677, 0.011, 0.999], [0.825, 0.489, 0.499], [0.843, 0.843, 0.501], [0.989, 0.323, 0.001], [0.500, 0.500, 0.500], [0.000, 0.000, 0.000], [0.166, 0.834, 0.500], [0.334, 0.666, 0.000], [0.666, 0.334, 0.000], [0.834, 0.166, 0.500]]
}



Record 4
{
  "formula": "Ge2Se2Cl",
  "functional": "PBE",
  "state": "optimized geometry",
  "formation_energy_uncorrected_mev_per_atom": -338,
  "polymorph_energy_ev_per_atom": 0.0000,
  "space_group": "P2_1/m, No. 11",
  "crystal_system": "monoclinic",
  "energy_ry_per_atom": -0.290,
  "magmom_total_mub_per_fu": 0.000,
  "cell": [[5.408, 0.000, 0.000], [0.000, 3.833, 0.000], [-0.016, 0.000, 12.094]],
  "species": ["Ge", "Ge", "Ge", "Ge", "Se", "Se", "Se", "Se", "Cl", "Cl"],
  "frac_coords": [[0.250, 0.250, 0.099], [0.250, 0.250, 0.743], [0.750, 0.750, 0.257], [0.750, 0.750, 0.901], [0.250, 0.750, 0.916], [0.251, 0.750, 0.249], [0.749, 0.250, 0.751], [0.750, 0.250, 0.084], [0.249, 0.750, 0.605], [0.751, 0.250, 0.395]]
}



Record 5
{
  "formula": "Nd4Ge2N",
  "functional": "PBE",
  "state": "optimized geometry",
  "formation_energy_uncorrected_mev_per_atom": -836,
  "polymorph_energy_ev_per_atom": 0.0205,
  "space_group": "I4/mmm, No. 139",
  "crystal_system": "tetragonal",
  "energy_ry_per_atom": -0.446,
  "magmom_total_mub_per_fu": 0.000,
  "cell": [[-2.410, 2.410, 7.892], [2.410, -2.410, 7.892], [2.410, 2.410, -7.892]],
  "species": ["Nd", "Nd", "Nd", "Nd", "Ge", "Ge", "N"],
  "frac_coords": [[0.000, 0.500, 0.500], [0.170, 0.170, 0.000], [0.500, 0.000, 0.500], [0.830, 0.830, 0.000], [0.363, 0.363, 0.000], [0.637, 0.637, 0.000], [0.000, 0.000, 0.000]]
}



Record 6
{
  "formula": "Na4ClO2",
  "functional": "PBE",
  "state": "optimized geometry",
  "formation_energy_uncorrected_mev_per_atom": -1243,
  "space_group": "C2/c, No. 15",
  "crystal_system": "monoclinic",
  "energy_ry_per_atom": -0.270,
  "magmom_total_mub_per_fu": 1.002,
  "cell": [[4.790, -5.155, 0.000], [4.790, 5.155, 0.000], [-4.781, 0.000, 5.479]],
  "species": ["Na", "Na", "Na", "Na", "Na", "Na", "Na", "Na", "Cl", "Cl", "O", "O", "O", "O"],
  "frac_coords": [[0.187, 0.231, 0.432], [0.201, 0.746, 0.933], [0.231, 0.187, 0.932], [0.254, 0.799, 0.567], [0.746, 0.201, 0.433], [0.769, 0.813, 0.068], [0.799, 0.254, 0.067], [0.813, 0.769, 0.568], [0.375, 0.625, 0.250], [0.625, 0.375, 0.750], [0.000, 0.000, 0.000], [0.000, 0.000, 0.500], [0.000, 0.500, 0.500], [0.500, 0.000, 0.000]]
}



Record 7
{
  "formula": "La3Dy2ErS6",
  "functional": "PBE",
  "state": "optimized geometry",
  "formation_energy_uncorrected_mev_per_atom": -2084,
  "space_group": "C2/m, No. 12",
  "crystal_system": "monoclinic",
  "energy_ry_per_atom": -0.480,
  "magmom_total_mub_per_fu": 0.000,
  "cell": [[3.450, -5.989, 0.000], [3.450, 5.989, 0.000], [-2.311, 0.000, 6.681]],
  "species": ["La", "La", "La", "Dy", "Dy", "Er", "S", "S", "S", "S", "S", "S"],
  "frac_coords": [[0.000, 0.000, 0.000], [0.332, 0.668, 0.000], [0.668, 0.332, 0.000], [0.167, 0.833, 0.500], [0.833, 0.167, 0.500], [0.500, 0.500, 0.500], [0.093, 0.424, 0.272], [0.245, 0.245, 0.729], [0.424, 0.093, 0.272], [0.576, 0.907, 0.728], [0.755, 0.755, 0.271], [0.907, 0.576, 0.728]]
}



Record 8
{
  "formula": "DyHoScCd",
  "functional": "PBE",
  "state": "optimized geometry",
  "polymorph_energy_ev_per_atom": 0.0000,
  "space_group": "P4mm, No. 99",
  "crystal_system": "tetragonal",
  "energy_ry_per_atom": -0.311,
  "magmom_total_mub_per_fu": 0.000,
  "delta_e_f_ev_per_atom": -0.128,
  "cell": [[3.515, 0.000, 0.000], [0.000, 3.515, 0.000], [0.000, 0.000, 8.791]],
  "species": ["Dy", "Ho", "Sc", "Cd"],
  "frac_coords": [[0.000, 0.000, 0.000], [0.000, 0.000, 0.515], [0.500, 0.500, 0.258], [0.500, 0.500, 0.756]]
}



Record 9
{
  "formula": "TbThSi2Pt2",
  "functional": "PBE",
  "state": "optimized geometry",
  "formation_energy_uncorrected_mev_per_atom": -1164,
  "space_group": "P-3m1, No. 164",
  "crystal_system": "trigonal",
  "energy_ry_per_atom": -0.514,
  "magmom_total_mub_per_fu": 0.000,
  "cell": [[4.222, 0.000, 0.000], [-2.111, 3.656, 0.000], [0.000, 0.000, 8.061]],
  "species": ["Tb", "Th", "Si", "Si", "Pt", "Pt"],
  "frac_coords": [[0.000, 0.000, 0.000], [0.000, 0.000, 0.500], [0.333, 0.667, 0.750], [0.667, 0.333, 0.250], [0.333, 0.667, 0.239], [0.667, 0.333, 0.761]]
}



Record 10
{
  "formula": "BaLa2Ir",
  "functional": "PBE",
  "state": "optimized geometry",
  "polymorph_energy_ev_per_atom": 0.6940,
  "space_group": "F-43m, No. 216",
  "crystal_system": "cubic",
  "energy_ry_per_atom": -0.362,
  "magmom_total_mub_per_fu": 0.000,
  "delta_e_f_ev_per_atom": 0.232,
  "cell": [[0.000, 3.841, 3.841], [3.841, 0.000, 3.841], [3.841, 3.841, 0.000]],
  "species": ["Ba", "La", "La", "Ir"],
  "frac_coords": [[0.000, 0.000, 0.000], [0.500, 0.500, 0.500], [0.750, 0.750, 0.750], [0.250, 0.250, 0.250]]
}



Record 11
{
  "formula": "Mg2RePb",
  "functional": "PBE",
  "state": "optimized geometry",
  "space_group": "R-3m, No. 166",
  "crystal_system": "trigonal",
  "energy_ry_per_atom": -0.325,
  "magmom_total_mub_per_fu": 0.664,
  "delta_e_f_ev_per_atom": 0.410,
  "cell": [[1.550, 0.895, 9.862], [-1.550, 0.895, 9.862], [0.000, -1.790, 9.862]],
  "species": ["Mg", "Mg", "Re", "Pb"],
  "frac_coords": [[0.239, 0.239, 0.239], [0.761, 0.761, 0.761], [0.500, 0.500, 0.500], [0.000, 0.000, 0.000]]
}



Record 12
{
  "formula": "CdIn2Sb",
  "functional": "PBE",
  "state": "optimized geometry",
  "formation_energy_uncorrected_mev_per_atom": 70,
  "polymorph_energy_ev_per_atom": 0.0325,
  "space_group": "Cmm2, No. 35",
  "crystal_system": "orthorhombic",
  "energy_ry_per_atom": -0.188,
  "magmom_total_mub_per_fu": 0.000,
  "cell": [[2.142, -2.448, 0.000], [2.142, 2.448, 0.000], [0.000, 0.000, 10.233]],
  "species": ["Cd", "In", "In", "Sb"],
  "frac_coords": [[0.000, 0.000, 0.000], [0.000, 0.000, 0.503], [0.500, 0.500, 0.239], [0.500, 0.500, 0.760]]
}



Record 13
{
  "formula": "YAgPd4",
  "functional": "PBE",
  "state": "optimized geometry",
  "polymorph_energy_ev_per_atom": 0.0000,
  "space_group": "F-43m, No. 216",
  "crystal_system": "cubic",
  "energy_ry_per_atom": -0.407,
  "magmom_total_mub_per_fu": 0.000,
  "delta_e_f_ev_per_atom": -0.527,
  "cell": [[0.000, 3.780, 3.780], [3.780, 0.000, 3.780], [3.780, 3.780, 0.000]],
  "species": ["Y", "Ag", "Pd", "Pd", "Pd", "Pd"],
  "frac_coords": [[0.000, 0.000, 0.000], [0.750, 0.750, 0.750], [0.375, 0.375, 0.375], [0.375, 0.375, 0.874], [0.375, 0.874, 0.375], [0.874, 0.375, 0.375]]
}



Record 14
{
  "formula": "BeTcSn",
  "functional": "PBE",
  "state": "optimized geometry",
  "space_group": "P-1, No. 2",
  "crystal_system": "triclinic",
  "energy_ry_per_atom": -0.437,
  "magmom_total_mub_per_fu": 0.000,
  "delta_e_f_ev_per_atom": 0.090,
  "cell": [[3.323, 0.000, 0.000], [0.001, 4.415, 0.000], [1.661, 1.278, 6.269]],
  "species": ["Be", "Be", "Tc", "Tc", "Sn", "Sn"],
  "frac_coords": [[0.226, 0.377, 0.048], [0.774, 0.623, 0.952], [0.409, 0.687, 0.682], [0.591, 0.313, 0.318], [0.103, 0.816, 0.295], [0.897, 0.184, 0.705]]
}



Record 15
{
  "formula": "NaInGeO4",
  "functional": "PBE",
  "state": "optimized geometry",
  "formation_energy_uncorrected_mev_per_atom": -1586,
  "space_group": "P2_1/m, No. 11",
  "crystal_system": "monoclinic",
  "energy_ry_per_atom": -0.416,
  "magmom_total_mub_per_fu": 0.000,
  "cell": [[5.613, 0.000, 0.000], [0.000, 5.853, 0.000], [-2.589, 0.000, 6.291]],
  "species": ["Na", "Na", "In", "In", "Ge", "Ge", "O", "O", "O", "O", "O", "O", "O", "O"],
  "frac_coords": [[0.141, 0.250, 0.441], [0.859, 0.750, 0.559], [0.311, 0.250, 0.971], [0.689, 0.750, 0.029], [0.246, 0.750, 0.170], [0.754, 0.250, 0.830], [0.004, 0.750, 0.912], [0.052, 0.750, 0.322], [0.480, 0.527, 0.199], [0.480, 0.973, 0.199], [0.520, 0.027, 0.801], [0.520, 0.473, 0.801], [0.948, 0.250, 0.678], [0.996, 0.250, 0.088]]
}



Record 16
{
  "formula": "Mg5Tl2Ag2",
  "functional": "PBE",
  "state": "optimized geometry",
  "space_group": "Cmce, No. 64",
  "crystal_system": "orthorhombic",
  "energy_ry_per_atom": -0.156,
  "magmom_total_mub_per_fu": 0.000,
  "delta_e_f_ev_per_atom": -0.079,
  "cell": [[7.490, -3.736, 0.000], [7.490, 3.736, 0.000], [0.000, 0.000, 7.418]],
  "species": ["Mg", "Mg", "Mg", "Mg", "Mg", "Mg", "Mg", "Mg", "Mg", "Mg", "Tl", "Tl", "Tl", "Tl", "Ag", "Ag", "Ag", "Ag"],
  "frac_coords": [[0.000, 0.000, 0.000], [0.042, 0.716, 0.665], [0.216, 0.542, 0.165], [0.284, 0.958, 0.665], [0.458, 0.784, 0.165], [0.500, 0.500, 0.500], [0.542, 0.216, 0.835], [0.716, 0.042, 0.335], [0.784, 0.458, 0.835], [0.958, 0.284, 0.335], [0.213, 0.213, 0.000], [0.287, 0.287, 0.500], [0.713, 0.713, 0.500], [0.787, 0.787, 0.000], [0.135, 0.865, 0.364], [0.365, 0.635, 0.864], [0.635, 0.365, 0.136], [0.865, 0.135, 0.636]]
}



Record 17
{
  "formula": "AlBi6",
  "functional": "PBE",
  "state": "optimized geometry",
  "space_group": "Im-3m, No. 229",
  "crystal_system": "cubic",
  "energy_ry_per_atom": -0.244,
  "magmom_total_mub_per_fu": 0.000,
  "delta_e_f_ev_per_atom": 0.546,
  "cell": [[-4.415, 4.415, 4.415], [4.415, -4.415, 4.415], [4.415, 4.415, -4.415]],
  "species": ["Al", "Bi", "Bi", "Bi", "Bi", "Bi", "Bi"],
  "frac_coords": [[0.000, 0.000, 0.000], [0.250, 0.500, 0.750], [0.250, 0.750, 0.500], [0.500, 0.250, 0.750], [0.500, 0.750, 0.250], [0.750, 0.250, 0.500], [0.750, 0.500, 0.250]]
}



Record 18
{
  "formula": "PPtBr2",
  "functional": "PBE",
  "state": "optimized geometry",
  "formation_energy_uncorrected_mev_per_atom": 669,
  "space_group": "R-3m, No. 166",
  "crystal_system": "trigonal",
  "energy_ry_per_atom": -0.223,
  "magmom_total_mub_per_fu": 0.000,
  "cell": [[1.875, 1.083, 8.125], [-1.875, 1.083, 8.125], [0.000, -2.165, 8.125]],
  "species": ["P", "Pt", "Br", "Br"],
  "frac_coords": [[0.000, 0.000, 0.000], [0.500, 0.500, 0.500], [0.101, 0.101, 0.101], [0.899, 0.899, 0.899]]
}



Record 19
{
  "formula": "Cd2HRh2",
  "functional": "PBE",
  "state": "optimized geometry",
  "polymorph_energy_ev_per_atom": 0.0000,
  "space_group": "C2/c, No. 15",
  "crystal_system": "monoclinic",
  "energy_ry_per_atom": -0.297,
  "magmom_total_mub_per_fu": 0.000,
  "cell": [[5.093, -2.868, 0.000], [5.093, 2.868, 0.000], [-1.475, 0.000, 4.849]],
  "species": ["Cd", "Cd", "Cd", "Cd", "H", "H", "Rh", "Rh", "Rh", "Rh"],
  "frac_coords": [[0.006, 0.261, 0.037], [0.261, 0.006, 0.537], [0.739, 0.994, 0.463], [0.994, 0.739, 0.963], [0.463, 0.537, 0.250], [0.537, 0.463, 0.750], [0.249, 0.506, 0.487], [0.494, 0.751, 0.013], [0.506, 0.249, 0.987], [0.751, 0.494, 0.513]]
}



Record 20
{
  "formula": "BaNa3Sr2",
  "functional": "PBE",
  "state": "optimized geometry",
  "space_group": "P4/mmm, No. 123",
  "crystal_system": "tetragonal",
  "energy_ry_per_atom": -0.112,
  "magmom_total_mub_per_fu": 0.000,
  "delta_e_f_ev_per_atom": 0.018,
  "cell": [[4.596, 0.000, 0.000], [0.000, 4.596, 0.000], [0.000, 0.000, 13.533]],
  "species": ["Ba", "Na", "Na", "Na", "Sr", "Sr"],
  "frac_coords": [[0.000, 0.000, 0.000], [0.500, 0.500, 0.177], [0.500, 0.500, 0.500], [0.500, 0.500, 0.823], [0.000, 0.000, 0.337], [0.000, 0.000, 0.663]]
}



| no. | V (Å³ per atom) |
| --- | --- |
| 1 | 15.8 |
| 2 | 38.7 |
| 3 | 35.3 |
| 4 | 25.1 |
| 5 | 26.2 |
| 6 | 19.3 |
| 7 | 23.0 |
| 8 | 27.1 |
| 9 | 20.7 |
| 10 | 28.3 |
| 11 | 20.5 |
| 12 | 26.8 |
| 13 | 18.0 |
| 14 | 15.3 |
| 15 | 14.8 |
| 16 | 23.1 |
| 17 | 49.2 |
| 18 | 24.7 |
| 19 | 14.2 |
| 20 | 47.6 |